No. 1
Computed, not measured: a relaxed YInGa2Rh crystal at the GGA-PBE level of DFT. Values from VASP.

Cell and atoms, written as Quantum ESPRESSO input:
```
&SYSTEM
  ibrav = 0, nat = 5, ntyp = 4
/
ATOMIC_SPECIES
Rh 102.91 Rh.upf
In 114.82 In.upf
Y 88.91 Y.upf
Ga 69.72 Ga.upf
ATOMIC_POSITIONS angstrom
Rh 0.000 2.447 0.000
In 2.787 2.447 2.787
Y 0.000 0.000 0.000
Ga 2.787 0.000 0.000
Ga 0.000 0.000 2.787
CELL_PARAMETERS angstrom
5.574 0.000 0.000
0.000 4.894 0.000
0.000 0.000 5.574
```

Output
Calculated formation energy   656 meV/atom


No. 2
Computed, not measured: a relaxed HgPd3I crystal at the GGA-PBE level of DFT. Values from VASP.

Cell and atoms, written as Quantum ESPRESSO input:
```
&SYSTEM
  ibrav = 0, nat = 5, ntyp = 3
/
ATOMIC_SPECIES
Pd 106.42 Pd.upf
Hg 200.59 Hg.upf
I 126.90 I.upf
ATOMIC_POSITIONS angstrom
Pd 2.361 -0.836 -0.273
Pd 0.788 1.661 1.723
Hg 2.757 -0.875 3.267
Pd -0.392 -1.700 1.818
I 0.000 0.000 0.000
CELL_PARAMETERS angstrom
-0.783 -3.400 3.636
4.722 -1.673 -0.547
1.576 3.322 3.446
```

Output
Relative energy among the computed polymorphs   0.4794 eV per atom


No. 3
Computed, not measured: a relaxed HfNb3Rh crystal at the GGA-PBE level of DFT. Values from VASP.

Cell and atoms, written as Quantum ESPRESSO input:
```
&SYSTEM
  ibrav = 0, nat = 5, ntyp = 3
/
ATOMIC_SPECIES
Rh 102.91 Rh.upf
Hf 178.49 Hf.upf
Nb 92.91 Nb.upf
ATOMIC_POSITIONS angstrom
Rh 0.000 0.000 0.000
Hf -3.027 2.631 1.168
Nb -1.666 -0.453 1.685
Nb -1.709 0.888 -1.451
Nb 0.348 2.196 0.935
CELL_PARAMETERS angstrom
-3.419 1.777 -2.903
-3.331 -0.907 3.369
0.695 4.392 1.870
```

Output
Relative energy among the computed polymorphs   0.0000 eV per atom
Calculated formation energy   870 meV/atom


No. 4
Computed, not measured: a relaxed Li3Y3TiSe8 crystal at the GGA-PBE level of DFT. Values from VASP.

Cell and atoms, written as Quantum ESPRESSO input:
```
&SYSTEM
  ibrav = 0, nat = 15, ntyp = 4
/
ATOMIC_SPECIES
Se 78.96 Se.upf
Y 88.91 Y.upf
Ti 47.87 Ti.upf
Li 6.94 Li.upf
ATOMIC_POSITIONS angstrom
Se 0.000 2.314 1.567
Se -2.160 5.686 1.674
Y 2.000 1.165 3.240
Ti 0.000 -2.299 3.253
Y -2.000 1.165 3.240
Y 4.000 -2.299 3.253
Se 4.000 0.017 4.913
Se 0.000 -0.169 4.795
Se 4.000 2.499 1.686
Li 2.000 3.464 -0.013
Se 2.160 5.686 1.674
Se 6.161 -3.355 4.806
Se 1.840 -3.355 4.806
Li -2.000 3.464 -0.013
Li 0.000 0.000 0.000
CELL_PARAMETERS angstrom
8.001 0.000 0.000
-4.000 6.928 -0.025
0.000 -4.598 6.506
```

Output
VASP energy   -5.618 eV per atom


No. 5
Computed, not measured: a relaxed LiTc crystal at the GGA-PBE level of DFT. Values from VASP.

Cell and atoms, written as Quantum ESPRESSO input:
```
&SYSTEM
  ibrav = 0, nat = 8, ntyp = 2
/
ATOMIC_SPECIES
Tc 98.00 Tc.upf
Li 6.94 Li.upf
ATOMIC_POSITIONS angstrom
Tc -0.290 -3.693 1.000
Li 0.075 -5.905 0.298
Tc -0.897 -2.638 -2.639
Li 0.365 -2.212 -0.703
Li -0.532 -4.850 -3.341
Tc 2.647 -2.519 -1.172
Tc 0.000 0.000 0.000
Li 3.012 -4.731 -1.874
CELL_PARAMETERS angstrom
-3.834 -3.812 -0.467
2.041 -1.463 -4.811
3.253 -3.574 2.467
```

Output
Relative energy among the computed polymorphs   2.3813 eV per atom
Calculated formation energy   2475 meV/atom


No. 6
Computed, not measured: a relaxed PmGe3Pd10 crystal at the GGA-PBE level of DFT. Values from VASP.

Cell and atoms, written as Quantum ESPRESSO input:
```
&SYSTEM
  ibrav = 0, nat = 28, ntyp = 3
/
ATOMIC_SPECIES
Pd 106.42 Pd.upf
Ge 72.64 Ge.upf
Pm 145.00 Pm.upf
ATOMIC_POSITIONS angstrom
Pd -3.471 -7.096 6.547
Ge -4.562 -9.084 7.691
Ge -4.095 -11.311 4.214
Ge -1.791 -7.908 4.826
Pm -2.335 -4.246 2.407
Pd -5.869 -9.890 3.082
Pd -2.692 -7.241 0.833
Pd 0.505 -2.520 1.682
Pm -7.005 -12.739 7.222
Pd -5.761 -10.477 5.939
Pd -3.339 -4.151 5.656
Pd -1.101 -5.598 5.275
Pd -2.049 -0.869 2.118
Pd -3.008 -9.309 3.093
Pd -6.440 -7.090 3.678
Pd -5.245 -5.590 1.269
Pd -3.844 -1.631 3.974
Pd -3.579 -6.509 3.690
Pd 0.948 -4.729 3.157
Pd -0.756 -7.245 2.704
Pd -5.548 -4.147 3.521
Ge -7.549 -9.078 4.803
Pd -1.704 -2.516 -0.453
Ge -5.245 -5.675 5.415
Ge -4.778 -7.902 1.938
Pd -2.900 -9.896 5.951
Pd -3.197 -4.721 -0.849
Pd -6.332 -7.677 6.536
CELL_PARAMETERS angstrom
-5.893 -2.500 6.091
-4.900 -7.237 -1.302
1.453 -7.249 4.839
```

Output
Calculated formation energy   -535 meV/atom


No. 7
Computed, not measured: a relaxed K2ScTa crystal at the GGA-PBE level of DFT. Values from VASP.

Cell and atoms, written as Quantum ESPRESSO input:
```
&SYSTEM
  ibrav = 0, nat = 4, ntyp = 3
/
ATOMIC_SPECIES
Ta 180.95 Ta.upf
K 39.10 K.upf
Sc 44.96 Sc.upf
ATOMIC_POSITIONS angstrom
Ta 0.823 1.372 10.079
K 0.000 0.000 6.845
K 0.000 0.000 13.313
Sc 0.823 1.372 3.360
CELL_PARAMETERS angstrom
3.119 -0.004 0.000
-1.472 2.749 0.000
0.000 0.000 13.438
```

Output
Relative energy among the computed polymorphs   0.4489 eV per atom
Calculated formation energy   1103 meV/atom


No. 8
Computed, not measured: a relaxed V2CSe crystal at the GGA-PBE level of DFT. Values from VASP.

Cell and atoms, written as Quantum ESPRESSO input:
```
&SYSTEM
  ibrav = 0, nat = 4, ntyp = 3
/
ATOMIC_SPECIES
Se 78.96 Se.upf
C 12.01 C.upf
V 50.94 V.upf
ATOMIC_POSITIONS angstrom
Se 1.335 3.563 3.196
C 0.000 0.000 0.000
V 0.667 1.781 1.598
V 2.002 5.344 4.794
CELL_PARAMETERS angstrom
1.890 0.766 3.507
2.141 3.417 0.447
-1.362 2.943 2.438
```

Output
VASP energy   -7.330 eV per atom


No. 9
Computed, not measured: a relaxed Mn2OsW crystal at the GGA-PBE level of DFT. Values from VASP.

Cell and atoms, written as Quantum ESPRESSO input:
```
&SYSTEM
  ibrav = 0, nat = 4, ntyp = 3
/
ATOMIC_SPECIES
W 183.84 W.upf
Mn 54.94 Mn.upf
Os 190.23 Os.upf
ATOMIC_POSITIONS angstrom
W 1.357 1.848 4.073
Mn 0.000 0.000 0.100
Mn 1.357 1.848 1.304
Os 0.000 0.000 2.614
CELL_PARAMETERS angstrom
2.715 0.000 0.000
0.000 3.696 0.000
0.000 0.000 5.394
```

Output
Calculated formation energy   138 meV/atom


No. 10
Computed, not measured: a relaxed In2SiOs crystal at the GGA-PBE level of DFT. Values from VASP.

Cell and atoms, written as Quantum ESPRESSO input:
```
&SYSTEM
  ibrav = 0, nat = 4, ntyp = 3
/
ATOMIC_SPECIES
In 114.82 In.upf
Os 190.23 Os.upf
Si 28.09 Si.upf
ATOMIC_POSITIONS angstrom
In -0.003 -0.020 0.043
In -0.252 -1.798 3.803
Os -1.533 0.795 2.636
Si 1.323 0.056 2.476
CELL_PARAMETERS angstrom
-3.112 -1.079 4.006
2.602 -2.558 3.685
0.300 4.489 -2.580
```

Output
VASP energy   -4.901 eV per atom


No. 11
Computed, not measured: a relaxed LiDyThSe4 crystal at the GGA-PBE level of DFT. Values from VASP.

Cell and atoms, written as Quantum ESPRESSO input:
```
&SYSTEM
  ibrav = 0, nat = 14, ntyp = 4
/
ATOMIC_SPECIES
Se 78.96 Se.upf
Dy 162.50 Dy.upf
Th 232.04 Th.upf
Li 6.94 Li.upf
ATOMIC_POSITIONS angstrom
Se 10.355 6.110 1.797
Se 8.229 7.306 5.161
Se 6.103 3.461 5.190
Se 12.343 7.215 5.094
Dy 2.057 1.124 3.484
Se 8.229 2.265 1.827
Dy 6.172 1.124 3.484
Se 6.103 6.110 1.797
Th 4.114 4.785 3.494
Li 8.229 4.806 6.173
Se 4.114 2.356 1.893
Th 0.000 0.000 0.000
Se 10.355 3.461 5.190
Li 8.229 4.764 0.815
CELL_PARAMETERS angstrom
8.229 0.000 0.000
4.114 7.322 0.019
4.114 2.248 6.969
```

Output
VASP energy   -5.674 eV per atom


No. 12
Computed, not measured: a relaxed CaTlSnPd crystal at the GGA-PBE level of DFT. Values from VASP.

Cell and atoms, written as Quantum ESPRESSO input:
```
&SYSTEM
  ibrav = 0, nat = 4, ntyp = 4
/
ATOMIC_SPECIES
Tl 204.38 Tl.upf
Sn 118.71 Sn.upf
Pd 106.42 Pd.upf
Ca 40.08 Ca.upf
ATOMIC_POSITIONS angstrom
Tl 2.552 1.474 1.042
Sn 0.000 0.000 0.000
Pd 7.657 4.421 3.126
Ca 5.105 2.947 2.084
CELL_PARAMETERS angstrom
5.105 0.000 0.000
2.552 4.421 0.000
2.552 1.474 4.168
```

Output
Calculated formation energy   -365 meV/atom


| no. | volume (A^3/atom) |
| --- | --- |
| 1 | 30.41 |
| 2 | 25.59 |
| 3 | 22.45 |
| 4 | 23.98 |
| 5 | 19.97 |
| 6 | 17.42 |
| 7 | 28.78 |
| 8 | 11.80 |
| 9 | 13.53 |
| 10 | 18.09 |
| 11 | 29.97 |
| 12 | 23.52 |